(1)
The following is a PBEsol calculation of a relaxed structure of CdOs2Pb, from the Alexandria database.

a b c (Å): 6.5468 6.5468 6.5468
angles (deg): 90.00 90.00 90.00
Space group F-43m (No. 216)
Unique sites:
Cd: 0.0000 0.0000 0.0000 [4 per cell]
Os: 0.0000 0.0000 0.5000 [4 per cell]
Os: 0.2500 0.2500 0.7500 [4 per cell]
Pb: 0.2500 0.2500 0.2500 [4 per cell]

## Properties
Crystal system = cubic
Volume = 17.54 Å³/atom
E_form = 4.42 eV/f.u.
Uncorrected energy = -6.3023 eV per atom
M_tot = 0.006 μB/cell

=====

(2)
The following is a PBEsol calculation of a relaxed structure of CdOs2Pb, from the Alexandria database.

a b c (Å): 3.0491 4.9927 9.1814
angles (deg): 90.00 90.00 90.00
Space group Immm (No. 71)
Unique sites:
Cd: 0.0000 0.0000 0.0000 [2 per cell]
Os: 0.0000 0.5000 0.2423 [4 per cell]
Pb: 0.0000 0.0000 0.5000 [2 per cell]

## Properties
Crystal system = orthorhombic
Volume = 17.47 Å³/atom
E_form = 4.18 eV/f.u.
Uncorrected energy = -6.3622 eV per atom
M_tot = 0.001 μB/cell

=====

(3)
The following is a PBEsol calculation of a relaxed structure of CdOs3Pd, from the Alexandria database.

a b c (Å): 4.7010 4.7010 4.7010
angles (deg): 90.00 90.00 90.00
Space group Pm-3m (No. 221)
Unique sites:
Cd: 0.0000 0.0000 0.0000 [1 per cell]
Os: 0.0000 0.0000 0.5000 [3 per cell]
Pd: 0.5000 0.5000 0.5000 [1 per cell]

## Properties
Crystal system = cubic
Volume = 20.78 Å³/atom
E_form = 17.04 eV/f.u.
Uncorrected energy = -5.3526 eV per atom
M_tot = 2.415 μB/cell

=====

(4)
The following is a PBEsol calculation of a relaxed structure of CdOsPt, from the Alexandria database.

a b c (Å): 2.7190 3.8751 9.2349
angles (deg): 90.00 90.00 90.00
Space group Imm2 (No. 44)
Unique sites:
Cd: 0.0000 0.0000 0.0000 [2 per cell]
Os: 0.0000 0.0000 0.6855 [2 per cell]
Pt: 0.0000 0.0000 0.3160 [2 per cell]

## Properties
Crystal system = orthorhombic
Volume = 16.22 Å³/atom
E_form = 1.32 eV/f.u.
Uncorrected energy = -6.3510 eV per atom
M_tot = 0.002 μB/cell

=====

(5)
The following is a PBEsol calculation of a relaxed structure of Cd2OsPt, from the Alexandria database.

a b c (Å): 2.7337 4.7340 5.0847
angles (deg): 90.00 92.25 90.00
Space group P2/m (No. 10)
Unique sites:
Cd: 0.2328 0.0000 0.2494 [2 per cell]
Os: 0.5000 0.5000 0.0000 [1 per cell]
Pt: 0.0000 0.5000 0.5000 [1 per cell]

## Properties
Crystal system = monoclinic
Volume = 16.44 Å³/atom
E_form = 1.31 eV/f.u.
Uncorrected energy = -5.0663 eV per atom
M_tot = 0.000 μB/cell

=====

(6)
The following is a PBEsol calculation of a relaxed structure of CdOsPt2, from the Alexandria database.

a b c (Å): 9.1126 2.7531 5.0202
angles (deg): 90.00 98.62 90.00
Space group C2/m (No. 12)
Unique sites:
Cd: 0.0000 0.0000 0.0000 [2 per cell]
Os: 0.0000 0.5000 0.5000 [2 per cell]
Pt: 0.2437 0.0000 0.7339 [4 per cell]

## Properties
Crystal system = monoclinic
Volume = 15.57 Å³/atom
E_form = 0.87 eV/f.u.
Uncorrected energy = -6.6170 eV per atom
M_tot = 0.002 μB/cell